i) ZrZn2Sn2 (PBE-GGA, optimized geometry); total magnetic moment = 0.0 μB/f.u.; space group = No. 139
1.0
-2.9251 -1.1735 -2.0804
1.3958 -3.5089 0.0167
-4.6715 -3.8651 5.3209
Sn Zr Zn
2 1 2
Direct
0.3973 0.3973 0.2053
0.6027 0.6027 0.7947
0.0000 0.0000 0.0000
0.2500 0.7500 0.5000
0.7500 0.2500 0.5000

***

ii) ZrZn2Sn2 (PBE-GGA, optimized geometry); total magnetic moment = 0.0 μB/f.u.; space group = No. 127
1.0
7.8056 0.0000 0.0000
0.0000 7.8056 0.0000
0.0000 0.0000 3.5008
Zr Zn Sn
2 4 4
Direct
0.5000 0.5000 0.0000
0.0000 0.0000 0.0000
0.8453 0.3453 0.5000
0.6547 0.8453 0.5000
0.3453 0.1547 0.5000
0.1547 0.6547 0.5000
0.8543 0.6457 0.0000
0.3543 0.8543 0.0000
0.1457 0.3543 0.0000
0.6457 0.1457 0.0000

***

Each structure's energy above the most stable one, in meV per atom: i) 0; ii) 19.

***

i) ZrZn3Sn (PBE-GGA, optimized geometry); total magnetic moment = 0.2 μB/f.u.; space group = No. 221
1.0
-0.0988 -3.4799 -3.8584
-1.2366 -3.7325 3.3980
-5.0466 0.9827 -0.7570
Zr Zn Sn
1 3 1
Direct
0.0000 0.0000 0.0000
0.0000 0.5000 0.0000
0.5000 0.0000 0.0000
0.0000 0.0000 0.5000
0.5000 0.5000 0.5000

***

ii) ZrZn3Sn (PBE-GGA, optimized geometry); total magnetic moment = 0.0 μB/f.u.; space group = No. 221
1.0
-1.0783 1.7207 -4.5169
-4.2346 -2.5676 0.0328
-2.3304 3.8694 2.0304
Sn Zn Zr
1 3 1
Direct
0.0000 0.0000 0.0000
0.0000 0.0000 0.5000
0.0000 0.5000 0.0000
0.5000 0.0000 0.0000
0.5000 0.5000 0.5000

***

Each structure's energy above the most stable one, in meV per atom: i) 20; ii) 0.

***

i) Zr2ZnSn2 (PBE-GGA, optimized geometry); total magnetic moment = 0.0 μB/f.u.; space group = No. 127
1.0
7.3016 0.0000 0.0000
0.0000 7.3016 0.0000
0.0000 0.0000 4.1531
Zr Sn Zn
4 4 2
Direct
0.6605 0.8395 0.5000
0.8395 0.3395 0.5000
0.3395 0.1605 0.5000
0.1605 0.6605 0.5000
0.1434 0.3566 0.0000
0.6434 0.1434 0.0000
0.3566 0.8566 0.0000
0.8566 0.6434 0.0000
0.5000 0.5000 0.0000
0.0000 0.0000 0.0000

***

ii) Zr2ZnSn2 (PBE-GGA, optimized geometry); total magnetic moment = 0.0 μB/f.u.; space group = No. 127
1.0
7.3324 0.0000 0.0000
0.0000 7.3324 0.0000
0.0000 0.0000 4.2785
Zr Sn Zn
4 4 2
Direct
0.1622 0.3378 0.0000
0.6622 0.1622 0.0000
0.3378 0.8378 0.0000
0.8378 0.6622 0.0000
0.1456 0.6456 0.5000
0.6456 0.8544 0.5000
0.8544 0.3544 0.5000
0.3544 0.1456 0.5000
0.5000 0.5000 0.0000
0.0000 0.0000 0.0000

***

Each structure's energy above the most stable one, in meV per atom: i) 36; ii) 0.

***

i) Zr5Sn (PBE-GGA, optimized geometry); total magnetic moment = 0.0 μB/f.u.; space group = No. 189
1.0
5.5497 0.0000 0.0000
-2.7748 4.8062 0.0000
0.0000 0.0000 5.1583
Zr Sn
5 1
Direct
0.6667 0.3333 0.0000
0.6773 0.6773 0.5000
0.3333 0.6667 0.0000
0.3227 0.0000 0.5000
0.0000 0.3227 0.5000
0.0000 0.0000 0.0000

***

ii) Zr5Sn (PBE-GGA, optimized geometry); total magnetic moment = 0.0 μB/f.u.; space group = No. 65
1.0
4.3804 0.0000 0.0000
0.0000 4.3994 0.0000
0.0000 -2.1997 7.0797
Zr Sn
5 1
Direct
0.5000 0.5000 0.0000
0.0000 0.3326 0.6652
0.5000 0.8329 0.6659
0.0000 0.6674 0.3348
0.5000 0.1671 0.3341
0.0000 0.0000 0.0000

***

Each structure's energy above the most stable one, in meV per atom: i) 51; ii) 0.